First-principles (GGA-PBE) data for a relaxed Nd4NpCo5 crystal, as listed in the Alexandria database.

Calculated formation energy in meV/atom: 56
Total magnetic moment in μB/atom: 0.000
Total DFT energy (no corrections) in eV per atom: -6.698

a b c (Å): 6.972 6.972 6.972
angles (deg): 97.13 97.13 138.75
Fractional positions:
Nd 0.000 0.291 0.291
Nd 0.000 0.709 0.709
Nd 0.291 0.000 0.291
Nd 0.709 0.000 0.709
Np 0.609 0.609 0.000
Co 0.117 0.117 0.000
Co 0.323 0.323 0.663
Co 0.323 0.660 0.000
Co 0.660 0.323 0.000
Co 0.660 0.660 0.337